First-principles (GGA+U) data for crystalline Li2VFeO4 at its relaxed geometry, as listed in the Alexandria database.

Summary:
The calculation puts the magnetic moment at 0.50 μB/atom. The relative energy among the computed polymorphs is 0.111 eV/atom.

abc: 5.916 5.916 5.975
angles: 119.57 119.57 58.98
Fractional coordinates of all 16 atoms:
Li1 0.000 0.000 0.000
Li2 0.000 0.000 0.500
Li3 0.000 0.500 0.000
Li4 0.500 0.000 0.000
V1 0.000 0.500 0.500
V2 0.500 0.000 0.500
Fe1 0.500 0.500 0.000
Fe2 0.500 0.500 0.500
O1 0.246 0.246 0.723
O2 0.248 0.725 0.723
O3 0.260 0.260 0.268
O4 0.275 0.752 0.277
O5 0.725 0.248 0.723
O6 0.740 0.740 0.732
O7 0.752 0.275 0.277
O8 0.754 0.754 0.277